# 1
# ZnInGaTe2S2 (PBE-GGA, relaxed)
# raw total energy	-0.263	Ry/atom
data_ZnInGaTe2S2
_cell_length_a 5.811
_cell_length_b 5.960
_cell_length_c 6.948
_cell_angle_alpha 113.09
_cell_angle_beta 114.70
_cell_angle_gamma 90.01
_symmetry_space_group_name_H-M 'P 1'
_symmetry_Int_Tables_number 1
_symmetry_space_group_name_Hall 'P 1'
loop_
_atom_site_label
_atom_site_type_symbol
_atom_site_fract_x
_atom_site_fract_y
_atom_site_fract_z
Zn1 Zn 0.000 0.000 0.000
In1 In 0.503 0.451 0.010
Ga1 Ga 0.719 0.221 0.506
Te1 Te 0.106 0.603 0.717
Te2 Te 0.916 0.863 0.291
S1 S 0.367 0.330 0.263
S2 S 0.629 0.096 0.750

***

# 2
# NdTlNO (PBE-GGA, relaxed)
# relative energy among the computed polymorphs	58	meV/atom
# raw total energy	-0.448	Ry/atom
# magnetization	0.0	μB per formula unit
data_NdTlNO
_cell_length_a 3.991
_cell_length_b 6.666
_cell_length_c 6.149
_cell_angle_alpha 90.00
_cell_angle_beta 90.00
_cell_angle_gamma 90.00
_symmetry_space_group_name_H-M 'P m c 21'
_symmetry_Int_Tables_number 26
_symmetry_space_group_name_Hall 'P 2c -2'
loop_
_atom_site_label
_atom_site_type_symbol
_atom_site_fract_x
_atom_site_fract_y
_atom_site_fract_z
Nd1 Nd 0.000 0.182 0.000
Tl1 Tl 0.500 0.328 0.506
N1 N 0.500 0.342 0.892
O1 O 0.000 0.135 0.368

***

# 3
# UHgPd6 (PBE-GGA, relaxed)
# calculated formation energy	-0.4227	eV/atom
# raw total energy	-0.423	Ry/atom
# magnetization	0.0	μB per formula unit
data_UHgPd6
_cell_length_a 4.099
_cell_length_b 4.099
_cell_length_c 8.076
_cell_angle_alpha 90.00
_cell_angle_beta 90.00
_cell_angle_gamma 90.00
_symmetry_space_group_name_H-M 'P 4/m m m'
_symmetry_Int_Tables_number 123
_symmetry_space_group_name_Hall '-P 4 2'
loop_
_atom_site_label
_atom_site_type_symbol
_atom_site_fract_x
_atom_site_fract_y
_atom_site_fract_z
U1 U 0.000 0.000 0.000
Hg1 Hg 0.000 0.000 0.500
Pd1 Pd 0.000 0.500 0.241
Pd2 Pd 0.500 0.500 0.000
Pd3 Pd 0.500 0.500 0.500

***

# 4
# InAsPd2 (PBE-GGA, relaxed)
# raw total energy	-0.359	Ry/atom
data_InAsPd2
_cell_length_a 7.679
_cell_length_b 6.402
_cell_length_c 5.933
_cell_angle_alpha 90.00
_cell_angle_beta 90.36
_cell_angle_gamma 90.00
_symmetry_space_group_name_H-M 'P 1 21/c 1'
_symmetry_Int_Tables_number 14
_symmetry_space_group_name_Hall '-P 2ybc'
loop_
_atom_site_label
_atom_site_type_symbol
_atom_site_fract_x
_atom_site_fract_y
_atom_site_fract_z
In1 In 0.118 0.110 0.300
As1 As 0.373 0.566 0.188
Pd1 Pd 0.159 0.696 0.488
Pd2 Pd 0.399 0.194 0.007

***

The records above yield density values of 4.79, 7.69, 13.18, 9.17 g cm⁻³, respectively.